Record 1
Zn2SbPd5 | GGA-PBE | relaxed

The calculation puts the density of states at the Fermi level at 0.311 states/eV/atom. For the uncorrected formation energy, the calculation gives -0.408 eV/atom. As for the crystal system: monoclinic. The value obtained for the total energy is -4.4869 eV/atom.

The space group is Cm (No. 8) and the conventional cell measures 5.721, 9.306 and 5.540 Å, with angles of 90.00, 121.07 and 90.00 degrees. The inequivalent atoms are Zn at (0.000, 0.236, 0.000), Sb at (0.304, 0.000, 0.598), Pd at (0.300, 0.500, 0.111), Pd at (0.302, 0.500, 0.615), Pd at (0.311, 0.000, 0.100) and Pd at (0.495, 0.252, 0.491).

***

Record 2
Ac4AsP2O | GGA-PBE | relaxed

The calculation puts the density of states at the Fermi level at 0.325 states/eV/atom. For the uncorrected formation energy, the calculation gives -1.719 eV/atom. As for the crystal system: orthorhombic. The value obtained for the total energy is -6.3270 eV/atom.

The space group is Fmm2 (No. 42) and the conventional cell measures 8.832, 12.224 and 8.885 Å, with angles of 90.00, 90.00 and 90.00 degrees. The inequivalent atoms are Ac at (0.000, 0.242, 0.000), Ac at (0.224, 0.000, 0.227), As at (0.000, 0.000, 0.503), P at (0.250, 0.250, 0.249) and O at (0.000, 0.000, 0.068).

***

Record 3
Ba3FeRe | GGA-PBE | relaxed

The calculation puts the density of states at the Fermi level at 1.512 states/eV/atom. As for the crystal system: cubic. The calculation puts the energy above the lowest structure with this stoichiometry at 0 meV/atom. The calculation puts the energy relative to the elements at 1.43 eV per atom. The value obtained for the total energy is -3.9095 eV/atom.

The space group is Pm-3m (No. 221) and the conventional cell measures 5.647, 5.647 and 5.647 Å, with angles of 90.00, 90.00 and 90.00 degrees. The inequivalent atoms are Ba at (0.000, 0.000, 0.500), Fe at (0.000, 0.000, 0.000) and Re at (0.500, 0.500, 0.500).

***

Record 4
Tl6HgPd | GGA-PBE | relaxed

The calculation puts the density of states at the Fermi level at 0.370 states/eV/atom. As for the crystal system: orthorhombic. The calculation puts the energy relative to the elements at 0.00 eV per atom. The value obtained for the total energy is -2.4616 eV/atom.

The space group is Amm2 (No. 38) and the conventional cell measures 3.972, 9.849 and 11.652 Å, with angles of 90.00, 90.00 and 90.00 degrees. The inequivalent atoms are Tl at (0.000, 0.000, 0.000), Tl at (0.000, 0.181, 0.294), Tl at (0.500, 0.000, 0.776), Tl at (0.500, 0.242, 0.540), Hg at (0.000, 0.000, 0.552) and Pd at (0.500, 0.000, 0.183).

***

Record 5
ZrPaPtAu | GGA-PBE | relaxed

The calculation puts the density of states at the Fermi level at 1.724 states/eV/atom. As for the crystal system: cubic. The calculation puts the energy relative to the elements at -0.53 eV per atom. The value obtained for the total energy is -7.3667 eV/atom.

The space group is F-43m (No. 216) and the conventional cell measures 6.972, 6.972 and 6.972 Å, with angles of 90.00, 90.00 and 90.00 degrees. The inequivalent atoms are Zr at (0.000, 0.000, 0.000), Pa at (0.000, 0.000, 0.500), Pt at (0.250, 0.250, 0.750) and Au at (0.250, 0.250, 0.250).

***

Record 6
FeAsPb2 | GGA-PBE | relaxed

The calculation puts the density of states at the Fermi level at 1.040 states/eV/atom. As for the crystal system: tetragonal. The calculation puts the energy relative to the elements at 0.62 eV per atom. The value obtained for the total energy is -4.5151 eV/atom.

The space group is I-42d (No. 122) and the conventional cell measures 6.352, 6.352 and 12.565 Å, with angles of 90.00, 90.00 and 90.00 degrees. The inequivalent atoms are Fe at (0.000, 0.000, 0.000), As at (0.000, 0.000, 0.500) and Pb at (0.228, 0.250, 0.125).

***

Record 7
SnSb7Pb12 | GGA-PBE | relaxed

The calculation puts the density of states at the Fermi level at 0.355 states/eV/atom. For the uncorrected formation energy, the calculation gives 0.048 eV/atom. As for the crystal system: trigonal. The value obtained for the total energy is -3.8203 eV/atom.

The space group is R-3 (No. 148, hexagonal axes) and the conventional cell measures 15.5189, 15.5189 and 9.1166 Å, with angles of 90.00, 90.00 and 120.00 degrees. The inequivalent atoms are Sn at (0.0000, 0.0000, 0.0000), Sb at (0.0000, 0.0000, 0.5000), Sb at (0.0018, 0.8271, 0.1863), Pb at (0.0212, 0.7680, 0.8546) and Pb at (0.0864, 0.5196, 0.1546).

***

Record 8
As2HPdSe | GGA-PBE | relaxed

The calculation puts the density of states at the Fermi level at 0.662 states/eV/atom. As for the crystal system: tetragonal. The calculation puts the energy above the lowest structure with this stoichiometry at 484 meV/atom. The value obtained for the total energy is -3.2901 eV/atom.

The space group is P4/mmm (No. 123) and the conventional cell measures 4.834, 4.834 and 5.184 Å, with angles of 90.00, 90.00 and 90.00 degrees. The inequivalent atoms are As at (0.000, 0.500, 0.000), H at (0.000, 0.000, 0.500), Pd at (0.500, 0.500, 0.000) and Se at (0.500, 0.500, 0.500).

***

Record 9
Er3Th2Sc2 | GGA-PBE | relaxed

The calculation puts the density of states at the Fermi level at 1.573 states/eV/atom. As for the crystal system: orthorhombic. The calculation puts the energy above the lowest structure with this stoichiometry at 0 meV/atom. The calculation puts the energy relative to the elements at 0.04 eV per atom. The value obtained for the total energy is -5.8396 eV/atom.

The space group is Cmmm (No. 65) and the conventional cell measures 5.166, 23.216 and 3.439 Å, with angles of 90.00, 90.00 and 90.00 degrees. The inequivalent atoms are Er at (0.000, 0.000, 0.000), Er at (0.000, 0.426, 0.500), Th at (0.000, 0.153, 0.000) and Sc at (0.000, 0.285, 0.500).

***

Record 10
YSiOs2 | GGA-PBE | relaxed

The calculation puts the density of states at the Fermi level at 0.553 states/eV/atom. For the uncorrected formation energy, the calculation gives -0.061 eV/atom. As for the crystal system: monoclinic. The value obtained for the total energy is -8.6479 eV/atom.

The space group is Pm (No. 6) and the conventional cell measures 3.035, 4.442 and 5.194 Å, with angles of 90.00, 104.42 and 90.00 degrees. The inequivalent atoms are Y at (0.000, 0.000, 0.000), Si at (0.416, 0.500, 0.750), Os at (0.375, 0.000, 0.515) and Os at (0.755, 0.500, 0.355).

***

Record 11
Li2SiS | GGA-PBE | relaxed

For the uncorrected formation energy, the calculation gives -0.711 eV/atom. As for the crystal system: monoclinic. The calculation puts the energy above the lowest structure with this stoichiometry at 118 meV/atom. The value obtained for the total energy is -4.0559 eV/atom.

The space group is Cm (No. 8) and the conventional cell measures 11.239, 3.820 and 6.971 Å, with angles of 90.00, 114.88 and 90.00 degrees. The inequivalent atoms are Li at (0.000, 0.000, 0.000), Li at (0.038, 0.500, 0.436), Li at (0.277, 0.000, 0.767), Li at (0.341, 0.500, 0.512), Si at (0.212, 0.500, 0.966), Si at (0.277, 0.000, 0.186), S at (0.157, 0.000, 0.387) and S at (0.490, 0.000, 0.761).

***

Record 12
CeDy3Pu2Se6 | GGA-PBE | relaxed

The calculation puts the density of states at the Fermi level at 1.800 states/eV/atom. For the uncorrected formation energy, the calculation gives -1.716 eV/atom. As for the crystal system: monoclinic. The value obtained for the total energy is -7.4918 eV/atom.

The space group is C2/m (No. 12) and the conventional cell measures 18.024, 4.097 and 8.288 Å, with angles of 90.00, 104.09 and 90.00 degrees. The inequivalent atoms are Ce at (0.000, 0.000, 0.000), Dy at (0.000, 0.000, 0.500), Dy at (0.167, 0.500, 0.833), Pu at (0.166, 0.500, 0.332), Se at (0.002, 0.500, 0.743), Se at (0.166, 0.000, 0.586) and Se at (0.169, 0.000, 0.080).

***

Record 13
Pm2RuN | GGA-PBE | relaxed

The calculation puts the density of states at the Fermi level at 0.691 states/eV/atom. For the uncorrected formation energy, the calculation gives -0.243 eV/atom. As for the crystal system: tetragonal. The calculation puts the energy above the lowest structure with this stoichiometry at 318 meV/atom. The value obtained for the total energy is -7.0191 eV/atom.

The space group is P4/mmm (No. 123) and the conventional cell measures 3.276, 3.276 and 6.785 Å, with angles of 90.00, 90.00 and 90.00 degrees. The inequivalent atoms are Pm at (0.000, 0.000, 0.219), Ru at (0.500, 0.500, 0.500) and N at (0.500, 0.500, 0.000).

***

Record 14
K2CoSbC | GGA-PBE | relaxed

The calculation puts the density of states at the Fermi level at 1.292 states/eV/atom. For the uncorrected formation energy, the calculation gives 1.321 eV/atom. As for the crystal system: tetragonal. The value obtained for the total energy is -3.2083 eV/atom.

The space group is P4/mmm (No. 123) and the conventional cell measures 6.226, 6.226 and 4.690 Å, with angles of 90.00, 90.00 and 90.00 degrees. The inequivalent atoms are K at (0.000, 0.500, 0.000), Co at (0.000, 0.000, 0.000), Sb at (0.000, 0.000, 0.500) and C at (0.500, 0.500, 0.500).

***

Record 15
K8B3O8 | GGA-PBE | relaxed

The calculation puts the density of states at the Fermi level at 0.118 states/eV/atom. For the uncorrected formation energy, the calculation gives -1.845 eV/atom. As for the crystal system: monoclinic. The value obtained for the total energy is -5.4488 eV/atom.

The space group is C2/m (No. 12) and the conventional cell measures 19.229, 5.199 and 8.195 Å, with angles of 90.00, 110.97 and 90.00 degrees. The inequivalent atoms are K at (0.031, 0.000, 0.233), K at (0.119, 0.500, 0.931), K at (0.177, 0.500, 0.470), K at (0.198, 0.000, 0.808), B at (0.000, 0.500, 0.500), B at (0.184, 0.000, 0.181), O at (0.012, 0.500, 0.356), O at (0.119, 0.000, 0.028), O at (0.178, 0.000, 0.346) and O at (0.245, 0.500, 0.835).

***

Record 16
Pr3Y2Th4 | GGA-PBE | relaxed

The calculation puts the density of states at the Fermi level at 1.596 states/eV/atom. As for the crystal system: triclinic. The calculation puts the energy relative to the elements at 0.07 eV per atom. The value obtained for the total energy is -6.2547 eV/atom.

The space group is P-1 (No. 2) and the conventional cell measures 6.263, 6.271 and 9.552 Å, with angles of 90.22, 108.86 and 119.95 degrees. The inequivalent atoms are Pr at (0.000, 0.000, 0.000), Pr at (0.440, 0.886, 0.669), Y at (0.217, 0.443, 0.331), Th at (0.124, 0.225, 0.669) and Th at (0.333, 0.662, 0.000).

***

Record 17
La2HfS | GGA-PBE | relaxed

The calculation puts the density of states at the Fermi level at 1.286 states/eV/atom. For the uncorrected formation energy, the calculation gives -0.457 eV/atom. As for the crystal system: tetragonal. The value obtained for the total energy is -6.4408 eV/atom.

The space group is I-42d (No. 122) and the conventional cell measures 9.727, 9.727 and 4.911 Å, with angles of 90.00, 90.00 and 90.00 degrees. The inequivalent atoms are La at (0.144, 0.250, 0.125), Hf at (0.000, 0.000, 0.500) and S at (0.000, 0.000, 0.000).

***

Record 18
CuAgRh2 | GGA-PBE | relaxed

The calculation puts the density of states at the Fermi level at 1.326 states/eV/atom. As for the crystal system: orthorhombic. The calculation puts the energy above the lowest structure with this stoichiometry at 45 meV/atom. The calculation puts the energy relative to the elements at 0.16 eV per atom. The value obtained for the total energy is -5.2563 eV/atom.

The space group is Pmm2 (No. 25) and the conventional cell measures 2.776, 3.772 and 5.653 Å, with angles of 90.00, 90.00 and 90.00 degrees. The inequivalent atoms are Cu at (0.000, 0.000, 0.000), Ag at (0.500, 0.500, 0.758), Rh at (0.000, 0.000, 0.462) and Rh at (0.500, 0.500, 0.255).

***

Record 19
ZnGa8Ge2 | GGA-PBE | relaxed

The calculation puts the density of states at the Fermi level at 0.318 states/eV/atom. As for the crystal system: monoclinic. The calculation puts the energy relative to the elements at 0.11 eV per atom. The value obtained for the total energy is -3.0478 eV/atom.

The space group is C2/m (No. 12) and the conventional cell measures 10.777, 8.339 and 5.003 Å, with angles of 90.00, 98.45 and 90.00 degrees. The inequivalent atoms are Zn at (0.000, 0.000, 0.000), Ga at (0.079, 0.271, 0.791), Ga at (0.108, 0.500, 0.334), Ga at (0.245, 0.500, 0.901) and Ge at (0.135, 0.000, 0.542).

***

Record 20
NaPm2Er | GGA-PBE | relaxed

The calculation puts the density of states at the Fermi level at 1.052 states/eV/atom. As for the crystal system: tetragonal. The calculation puts the energy above the lowest structure with this stoichiometry at 0 meV/atom. The calculation puts the energy relative to the elements at 0.10 eV per atom. The value obtained for the total energy is -3.7416 eV/atom.

The space group is P4/mmm (No. 123) and the conventional cell measures 3.524, 3.524 and 10.893 Å, with angles of 90.00, 90.00 and 90.00 degrees. The inequivalent atoms are Na at (0.000, 0.000, 0.000), Pm at (0.500, 0.500, 0.268) and Er at (0.000, 0.000, 0.500).

***

Record 21
Dy12Er2Th5 | GGA-PBE | relaxed

The calculation puts the density of states at the Fermi level at 1.607 states/eV/atom. As for the crystal system: monoclinic. The calculation puts the energy relative to the elements at 0.22 eV per atom. The value obtained for the total energy is -5.1233 eV/atom.

The space group is C2/m (No. 12) and the conventional cell measures 18.647, 7.040 and 10.196 Å, with angles of 90.00, 113.18 and 90.00 degrees. The inequivalent atoms are Dy at (0.005, 0.000, 0.323), Dy at (0.028, 0.500, 0.237), Dy at (0.158, 0.254, 0.863), Dy at (0.167, 0.251, 0.518), Er at (0.000, 0.216, 0.000), Th at (0.000, 0.500, 0.500), Th at (0.177, 0.000, 0.209) and Th at (0.185, 0.500, 0.179).

***

Record 22
TbMgScPt | GGA-PBE | relaxed

The calculation puts the density of states at the Fermi level at 0.775 states/eV/atom. As for the crystal system: cubic. The calculation puts the energy relative to the elements at -0.59 eV per atom. The value obtained for the total energy is -5.2408 eV/atom.

The space group is F-43m (No. 216) and the conventional cell measures 7.005, 7.005 and 7.005 Å, with angles of 90.00, 90.00 and 90.00 degrees. The inequivalent atoms are Tb at (0.000, 0.000, 0.000), Mg at (0.250, 0.250, 0.250), Sc at (0.000, 0.000, 0.500) and Pt at (0.250, 0.250, 0.750).

***

Record 23
MnBiTe2W | GGA-PBE | relaxed

The calculation puts the density of states at the Fermi level at 0.983 states/eV/atom. For the uncorrected formation energy, the calculation gives 0.970 eV/atom. As for the crystal system: tetragonal. The value obtained for the total energy is -5.4877 eV/atom.

The space group is P4/mmm (No. 123) and the conventional cell measures 5.252, 5.252 and 5.625 Å, with angles of 90.00, 90.00 and 90.00 degrees. The inequivalent atoms are Mn at (0.000, 0.000, 0.000), Bi at (0.500, 0.500, 0.000), Te at (0.000, 0.500, 0.500) and W at (0.500, 0.500, 0.500).

***

Record 24
Ac4Np | GGA-PBE | relaxed

The calculation puts the density of states at the Fermi level at 2.752 states/eV/atom. As for the crystal system: cubic. The calculation puts the energy relative to the elements at 0.65 eV per atom. The value obtained for the total energy is -5.2239 eV/atom.

The space group is Pm-3m (No. 221) and the conventional cell measures 6.135, 6.135 and 6.135 Å, with angles of 90.00, 90.00 and 90.00 degrees. The inequivalent atoms are Ac at (0.000, 0.000, 0.000), Ac at (0.000, 0.500, 0.500) and Np at (0.500, 0.500, 0.500).